An optimized crystal structure of Pm2Nd3Hg2, computed with PBE.

Lattice parameters (Å, degrees): 13.456 3.862 9.576 90.00 114.89 90.00
Space group C2/m (No. 12)
Unique sites:
Pm  0.145  0.000  0.311 x4
Nd  0.000  0.500  0.500 x2
Nd  0.109  0.500  0.943 x4
Hg  0.177  0.000  0.725 x4

Calculated formation energy   -230 meV per atom
Raw total energy   -0.137 Ha/atom
Magnetization   0.000 μB per atom
Energy relative to the lowest polymorph listed for this composition   0 meV/atom



An optimized crystal structure of Pm8NdHg6, computed with PBE.

Lattice parameters (Å, degrees): 9.1611 9.1611 19.4083 90.00 90.00 120.00
Space group R-3 (No. 148, hexagonal axes)
Unique sites:
Pm  0.0000  0.0000  0.1671 x6
Pm  0.0007  0.3322  0.6149 x18
Nd  0.0000  0.0000  0.5000 x3
Hg  0.9999  0.3353  0.4455 x18

Calculated formation energy   -249 meV per atom
Raw total energy   -0.118 Ha/atom
Magnetization   0.180 μB per atom



An optimized crystal structure of Pm2NdHg4, computed with PBE.

Lattice parameters (Å, degrees): 5.2089 5.2089 26.8492 90.00 90.00 120.00
Space group R-3m (No. 166, hexagonal axes)
Unique sites:
Pm  0.0000  0.0000  0.2429 x6
Nd  0.0000  0.0000  0.0000 x3
Hg  0.0000  0.0000  0.1263 x6
Hg  0.0000  0.0000  0.3773 x6

Calculated formation energy   -336 meV per atom
Raw total energy   -0.094 Ha/atom
Magnetization   0.000 μB per atom
Energy relative to the lowest polymorph listed for this composition   0 meV/atom



An optimized crystal structure of Pm3Nd4Hg4, computed with PBE.

Lattice parameters (Å, degrees): 3.762 9.402 19.189 90.00 90.00 90.00
Space group Immm (No. 71)
Unique sites:
Pm  0.000  0.000  0.000 x2
Pm  0.000  0.500  0.100 x4
Nd  0.000  0.314  0.339 x8
Hg  0.000  0.000  0.266 x4
Hg  0.000  0.210  0.500 x4

Calculated formation energy   -283 meV per atom
Raw total energy   -0.126 Ha/atom
Magnetization   0.000 μB per atom



Q: Look up the raw total energy of the third one.
A: -0.094 Ha/atom